## RbMnHF6 (GGA+U)

Data for a geometry-optimized RbMnHF6 structure.

The structure in CIF format:
```
data_RbMnHF6
_cell_length_a 5.097
_cell_length_b 5.256
_cell_length_c 5.580
_cell_angle_alpha 84.84
_cell_angle_beta 85.37
_cell_angle_gamma 65.65
_space_group_name_H-M_alt 'P 1'
_space_group_IT_number 1
_space_group_name_Hall 'P 1'
loop_
_atom_site_label
_atom_site_fract_x
_atom_site_fract_y
_atom_site_fract_z
_atom_site_occupancy
Rb1 0.000 0.000 0.000 1
Mn1 0.547 0.596 0.525 1
H1 0.538 0.101 0.524 1
F1 0.167 0.804 0.478 1
F2 0.453 0.472 0.822 1
F3 0.530 0.280 0.389 1
F4 0.558 0.914 0.661 1
F5 0.637 0.719 0.227 1
F6 0.924 0.390 0.579 1
```

Properties
- V: 15.1 A^3/atom
- M_tot: 0.3263 μB/atom
- D(E_F): 0.0 states/eV/cell
- ρ: 3.13 Mg/m³
- VASP energy: -4.790 eV per atom